Record 1
## CaCuGe3 (PBE)

Data for a relaxed structure of CaCuGe3.

The structure in CIF format:
```
data_CaCuGe3
_chemical_formula_sum 'Ca1 Cu1 Ge3'
_cell_length_a 5.3889
_cell_length_b 5.3889
_cell_length_c 5.3889
_cell_angle_alpha 90.00
_cell_angle_beta 90.00
_cell_angle_gamma 90.00
_space_group_name_H-M_alt 'P m -3 m'
_space_group_IT_number 221
_space_group_name_Hall '-P 4 2 3'
loop_
_atom_site_label
_atom_site_fract_x
_atom_site_fract_y
_atom_site_fract_z
Ca1 0.0000 0.0000 0.0000
Cu1 0.5000 0.5000 0.5000
Ge1 0.0000 0.0000 0.5000
```

Computed properties:
Formation energy from the elements = 1.30 eV per atom
Total magnetization = 0.86 μB/cell
Energy = -2.687 eV/atom

Record 2
## CaCu9Ge2 (PBE)

Data for a relaxed structure of CaCu9Ge2.

The structure in CIF format:
```
data_CaCu9Ge2
_chemical_formula_sum 'Ca3 Cu27 Ge6'
_cell_length_a 5.0736
_cell_length_b 5.0736
_cell_length_c 23.5176
_cell_angle_alpha 90.00
_cell_angle_beta 90.00
_cell_angle_gamma 120.00
_space_group_name_H-M_alt 'R -3 m'
_space_group_IT_number 166
_space_group_name_Hall '-R 3 2"'
loop_
_atom_site_label
_atom_site_fract_x
_atom_site_fract_y
_atom_site_fract_z
Ca1 0.0000 0.0000 0.0000
Cu1 0.0000 0.0000 0.3346
Cu2 0.0000 0.0000 0.5000
Cu3 0.0065 0.5032 0.9135
Ge1 0.0000 0.0000 0.1442
```

Computed properties:
Formation energy from the elements = -0.01 eV per atom
Total magnetization = 0.00 μB/cell
Energy = -4.017 eV/atom

Record 3
## Ca3Cu2Ge4 (PBE)

Data for a relaxed structure of Ca3Cu2Ge4.

The structure in CIF format:
```
data_Ca3Cu2Ge4
_chemical_formula_sum 'Ca6 Cu4 Ge8'
_cell_length_a 10.6959
_cell_length_b 4.2944
_cell_length_c 8.3406
_cell_angle_alpha 90.00
_cell_angle_beta 103.48
_cell_angle_gamma 90.00
_space_group_name_H-M_alt 'C 1 2/m 1'
_space_group_IT_number 12
loop_
_space_group_symop_operation_xyz
'x,y,z'
'-x,-y,-z'
'-x,y,-z'
'x,-y,z'
'x+1/2,y+1/2,z'
'-x+1/2,-y+1/2,-z'
'-x+1/2,y+1/2,-z'
'x+1/2,-y+1/2,z'
loop_
_atom_site_label
_atom_site_fract_x
_atom_site_fract_y
_atom_site_fract_z
Ca1 0.0000 0.0000 0.0000
Ca2 0.1224 0.5000 0.6957
Cu1 0.1858 0.5000 0.3594
Ge1 0.0929 0.0000 0.4178
Ge2 0.2107 0.5000 0.0689
```

Computed properties:
Formation energy from the elements = -0.49 eV per atom
Total magnetization = 0.00 μB/cell
ΔE to the lowest computed polymorph = 13 meV/atom
Energy = -4.116 eV/atom